(1)
Density functional theory data (PBE-GGA) for a relaxed ScGe2Mo crystal.

Output
- Formation enthalpy at 0 K: -257 meV/atom
- Space group: R-3m, No. 166
- Excess energy over the best structure of this formula in the dataset: 0 meV/atom

Geometry as POSCAR:
```
ScGe2Mo
1.0
3.566 0.000 0.000
-1.783 3.088 0.000
0.000 0.000 20.085
Sc Ge Mo
3 6 3
Direct
0.000 0.000 0.000
0.333 0.667 0.667
0.667 0.333 0.333
0.000 0.000 0.244
0.000 0.000 0.756
0.333 0.667 0.422
0.333 0.667 0.911
0.667 0.333 0.089
0.667 0.333 0.578
0.000 0.000 0.500
0.333 0.667 0.167
0.667 0.333 0.833
```

---

(2)
Density functional theory data (PBE-GGA) for a relaxed Sc2Ge4Mo3 crystal.

Output
- Formation enthalpy at 0 K: -552 meV/atom
- Space group: Pnma, No. 62
- Excess energy over the best structure of this formula in the dataset: 0 meV/atom

Geometry as POSCAR:
```
Sc2Ge4Mo3
1.0
6.728 0.000 0.000
0.000 12.925 0.000
0.000 0.000 6.928
Sc Ge Mo
8 16 12
Direct
0.011 0.090 0.173
0.011 0.410 0.173
0.489 0.590 0.673
0.489 0.910 0.673
0.511 0.090 0.327
0.511 0.410 0.327
0.989 0.590 0.827
0.989 0.910 0.827
0.028 0.250 0.878
0.176 0.046 0.542
0.176 0.454 0.542
0.192 0.750 0.655
0.308 0.250 0.155
0.324 0.546 0.042
0.324 0.954 0.042
0.472 0.750 0.378
0.528 0.250 0.622
0.676 0.046 0.958
0.676 0.454 0.958
0.692 0.750 0.845
0.808 0.250 0.345
0.824 0.546 0.458
0.824 0.954 0.458
0.972 0.750 0.122
0.163 0.250 0.503
0.171 0.626 0.345
0.171 0.874 0.345
0.329 0.126 0.845
0.329 0.374 0.845
0.337 0.750 0.003
0.663 0.250 0.997
0.671 0.626 0.155
0.671 0.874 0.155
0.829 0.126 0.655
0.829 0.374 0.655
0.837 0.750 0.497
```

---

(3)
Density functional theory data (PBE-GGA) for a relaxed ScGe2Mo crystal.

Output
- Formation enthalpy at 0 K: -225 meV/atom
- Space group: Fm-3m, No. 225
- Excess energy over the best structure of this formula in the dataset: 32 meV/atom

Geometry as POSCAR:
```
ScGe2Mo
1.0
6.447 0.000 0.000
0.000 6.447 0.000
0.000 0.000 6.447
Sc Ge Mo
4 8 4
Direct
0.000 0.000 0.000
0.000 0.500 0.500
0.500 0.000 0.500
0.500 0.500 0.000
0.250 0.250 0.250
0.250 0.250 0.750
0.250 0.750 0.250
0.250 0.750 0.750
0.750 0.250 0.250
0.750 0.250 0.750
0.750 0.750 0.250
0.750 0.750 0.750
0.000 0.000 0.500
0.000 0.500 0.000
0.500 0.000 0.000
0.500 0.500 0.500
```